# 1
{"formula": "K2ZrUO6", "functional": "PBE", "state": "optimized geometry", "magnetic_moment_mub_per_fu": 0.00, "formation_energy_uncorrected_ev_per_atom": -2.869, "cell": [[5.985, 0.000, 0.000], [0.000, 5.985, 0.000], [0.000, 0.000, 8.466]], "species": ["O", "O", "O", "O", "O", "O", "O", "O", "O", "O", "O", "O", "U", "U", "Zr", "Zr", "K", "K", "K", "K"], "fractional_positions": [[0.252, 0.498, 0.500], [0.248, 0.502, 0.000], [0.252, 0.002, 0.500], [0.000, 0.750, 0.248], [0.248, 0.998, 0.000], [0.748, 0.498, 0.500], [0.752, 0.502, 0.000], [0.000, 0.750, 0.752], [0.500, 0.250, 0.252], [0.748, 0.002, 0.500], [0.752, 0.998, 0.000], [0.500, 0.250, 0.748], [0.000, 0.750, 0.000], [0.500, 0.250, 0.500], [0.500, 0.250, 0.000], [0.000, 0.750, 0.500], [0.500, 0.750, 0.250], [0.500, 0.750, 0.750], [0.000, 0.250, 0.750], [0.000, 0.250, 0.250]]}



# 2
{"formula": "ThZn2GaCu2", "functional": "PBE", "state": "optimized geometry", "magnetic_moment_mub_per_fu": 0.00, "ef_mev_per_atom": 42, "cell": [[-2.465, -1.296, -3.482], [-3.260, -1.249, 2.773], [-2.292, 5.250, -0.332]], "species": ["Zn", "Zn", "Cu", "Cu", "Ga", "Th"], "fractional_positions": [[0.500, 0.500, 0.269], [0.500, 0.500, 0.731], [0.000, 0.500, 0.000], [0.500, 0.000, 0.000], [0.000, 0.000, 0.000], [0.000, 0.000, 0.500]]}



# 3
{"formula": "ZrCrAg3", "functional": "PBE", "state": "optimized geometry", "de_polymorph_mev_per_atom": 961, "magnetic_moment_mub_per_fu": 0.45, "ef_mev_per_atom": 1955, "cell": [[-0.788, 4.067, 3.027], [-3.985, -2.391, 2.175], [3.135, -2.018, 3.526]], "species": ["Ag", "Ag", "Ag", "Cr", "Zr"], "fractional_positions": [[0.000, 0.000, 0.500], [0.000, 0.500, 0.000], [0.500, 0.000, 0.000], [0.500, 0.500, 0.500], [0.000, 0.000, 0.000]]}